An optimized crystal structure of YCdW2S, computed with GGA-PBEsol. Values from VASP.

```
&SYSTEM
  ibrav = 0, nat = 5, ntyp = 4
/
ATOMIC_SPECIES
W 183.84 W.upf
S 32.06 S.upf
Cd 112.41 Cd.upf
Y 88.91 Y.upf
CELL_PARAMETERS angstrom
-3.430 3.318 0.641
-1.122 -1.980 4.244
3.529 3.181 2.417
ATOMIC_POSITIONS crystal
W 0.000 0.500 0.000
W 0.500 0.000 0.000
S 0.500 0.500 0.500
Cd 0.000 0.000 0.500
Y 0.000 0.000 0.000
```

Computed properties:
SG = P4/mmm (123)
Size of the total moment = 1.11 μB/cell
E_tot = -26.1 eV/cell